No. 1
Compound: Ba2ScCr
Source: the Alexandria database
Functional: PBE
Structure: optimized geometry

Structure (POSCAR):
```
Ba2ScCr
1.0
-4.9632 -1.8787 -1.7406
-3.8839 3.6009 -1.7723
-1.3289 0.2304 -5.4197
Sc Cr Ba
1 1 2
Direct
0.0000 0.0000 0.0000
0.5000 0.5000 0.5000
0.2500 0.2500 0.2500
0.7500 0.7500 0.7500
```

Output
ΔE_f	458	kJ/mol of formula units
energy relative to the lowest polymorph listed for this composition	742	meV/atom
total magnetic moment	0.00	μB/cell

***

No. 2
Compound: NiGe
Source: the Alexandria database
Functional: PBE
Structure: optimized geometry

Structure (POSCAR):
```
NiGe
1.0
6.5046 0.0000 0.0000
0.0000 6.5046 0.0000
0.0000 0.0000 6.5046
Ni Ge
6 6
Direct
0.2500 0.5000 0.0000
0.7500 0.5000 0.0000
0.5000 0.0000 0.2500
0.5000 0.0000 0.7500
0.0000 0.2500 0.5000
0.0000 0.7500 0.5000
0.2500 0.0000 0.5000
0.7500 0.0000 0.5000
0.0000 0.5000 0.2500
0.0000 0.5000 0.7500
0.5000 0.2500 0.0000
0.5000 0.7500 0.0000
```

Output
ΔE_f	67	kJ/mol of formula units
total magnetic moment	0.00	μB/cell

***

No. 3
Compound: ScPt2Cl
Source: the Alexandria database
Functional: PBE
Structure: optimized geometry

Structure (POSCAR):
```
ScPt2Cl
1.0
-1.5282 2.3992 2.1509
-0.9887 -2.6153 2.2148
4.8276 0.5552 2.8106
Cl Pt Sc
1 2 1
Direct
0.5000 0.5000 0.7500
0.0000 0.0000 0.0174
0.0000 0.0000 0.4826
0.5000 0.5000 0.2500
```

Output
formation energy without anion corrections	-0.642	eV per atom
energy relative to the lowest polymorph listed for this composition	188	meV/atom
total magnetic moment	0.00	μB/cell

***

No. 4
Compound: Ca2Pr5Nd2
Source: the Alexandria database
Functional: PBE
Structure: optimized geometry

Structure (POSCAR):
```
Ca2Pr5Nd2
1.0
5.0296 0.0000 -1.6685
-0.8445 7.9069 -2.5458
-0.0149 -0.0017 8.3701
Ca Pr Nd
2 5 2
Direct
0.7781 0.6681 0.5562
0.2219 0.3319 0.4438
0.5482 0.3280 0.0965
0.4518 0.6720 0.9035
0.8945 0.3276 0.7891
0.1055 0.6724 0.2109
0.0000 0.0000 0.0000
0.6647 0.9963 0.3295
0.3353 0.0037 0.6705
```

Output
ΔE_f	33	kJ/mol of formula units
total magnetic moment	0.00	μB/cell

***

No. 5
Compound: K2ScTc3O12
Source: the Alexandria database
Functional: PBE
Structure: optimized geometry

Structure (POSCAR):
```
K2ScTc3O12
1.0
-2.2554 -0.1708 7.0629
4.8864 -0.6827 5.5369
1.3835 5.6729 4.5720
K Sc Tc O
2 1 3 12
Direct
0.6127 0.6127 0.6127
0.3873 0.3873 0.3873
0.0000 0.0000 0.0000
0.5000 0.0000 0.0000
0.0000 0.5000 0.0000
0.0000 0.0000 0.5000
0.3107 0.3107 0.9321
0.9374 0.9374 0.3314
0.3314 0.9374 0.9374
0.9321 0.3107 0.3107
0.9374 0.3314 0.9374
0.3107 0.9321 0.3107
0.6893 0.6893 0.0679
0.0626 0.0626 0.6686
0.6686 0.0626 0.0626
0.0679 0.6893 0.6893
0.0626 0.6686 0.0626
0.6893 0.0679 0.6893
```

Output
formation energy without anion corrections	-1.693	eV per atom
total magnetic moment	0.86	μB/cell

***

No. 6
Compound: AgSnPd5
Source: the Alexandria database
Functional: PBE
Structure: optimized geometry

Structure (POSCAR):
```
AgSnPd5
1.0
-3.8529 -1.1635 3.4325
-3.2727 -4.0776 -0.8018
5.7322 -6.6556 5.3660
Ag Sn Pd
2 2 10
Direct
0.0000 0.0000 0.0000
0.0000 0.0000 0.5000
0.3010 0.6990 0.2500
0.6990 0.3010 0.7500
0.8043 0.7129 0.1811
0.3227 0.3741 0.5532
0.7129 0.8043 0.6811
0.7972 0.2028 0.2500
0.6259 0.6773 0.9468
0.3741 0.3227 0.0532
0.2028 0.7972 0.7500
0.2871 0.1957 0.3189
0.6773 0.6259 0.4468
0.1957 0.2871 0.8189
```

Output
ΔE_f	-64	kJ/mol of formula units
energy relative to the lowest polymorph listed for this composition	98	meV/atom
total magnetic moment	0.00	μB/cell